Computed, not measured: a relaxed structure of NaNiO2 at the GGA+U level of DFT.

Cell: 3.745 3.745 3.745 Å, 60.00 60.00 60.00°
Last column: magnetic moment on the atom in μB.
Sites, in units of the cell vectors:
Ni (0.500, 0.500, 0.500)  1.82
O (0.250, 0.250, 0.250)  0.54
O (0.750, 0.750, 0.750)  0.54
Na (0.000, 0.000, 0.000)  0.00

Computed properties:
For the uncorrected energy, the calculation gives -3.86 eV per atom. For the magnetization, the calculation gives 0.75 μB per atom. For the density, the calculation gives 5.1 g cm⁻³. As for the space group: Fm-3m (225). The density of states at the Fermi level comes out at 0.074 states/eV per atom.